(1)
The following is a GGA-PBE calculation of a relaxed Ce2ErTmSb4 crystal, from Alexandria via LeMat-Bulk.

Calculated values
M_tot = 1.568 Bohr magnetons per cell
Uncorrected formation energy = -1.062 eV per atom
Calculated density = 7.49 Mg/m³
Crystal system = monoclinic

a = 7.6473 Å, b = 4.4258 Å, c = 7.6693 Å
α = 90.00°, β = 109.51°, γ = 90.00°
Space group P2/m (No. 10)
Unique sites:
Ce (0.0000, 0.0000, 0.0000) (multiplicity 1)
Ce (0.0000, 0.5000, 0.5000) (multiplicity 1)
Er (0.5000, 0.0000, 0.5000) (multiplicity 1)
Tm (0.5000, 0.5000, 0.0000) (multiplicity 1)
Sb (0.2590, 0.5000, 0.2524) (multiplicity 2)
Sb (0.2595, 0.0000, 0.7538) (multiplicity 2)

(2)
The following is a GGA-PBE calculation of a relaxed Ce2YErSb5 crystal, from Alexandria via LeMat-Bulk.

Calculated values
M_tot = 1.648 Bohr magnetons per cell
Uncorrected formation energy = -0.312 eV per atom
Calculated density = 5.91 Mg/m³
Crystal system = tetragonal

a = 5.2801 Å, b = 5.2801 Å, c = 11.5366 Å
α = 90.00°, β = 90.00°, γ = 90.00°
Space group P4/mmm (No. 123)
Unique sites:
Ce (0.0000, 0.0000, 0.2126) (multiplicity 2)
Y (0.5000, 0.5000, 0.5000) (multiplicity 1)
Er (0.5000, 0.5000, 0.0000) (multiplicity 1)
Sb (0.0000, 0.0000, 0.5000) (multiplicity 1)
Sb (0.0000, 0.5000, 0.0000) (multiplicity 2)
Sb (0.5000, 0.5000, 0.2520) (multiplicity 2)

(3)
The following is a GGA-PBE calculation of a relaxed Ce3YEr2Sb6 crystal, from Alexandria via LeMat-Bulk.

Calculated values
M_tot = 4.838 Bohr magnetons per cell
Uncorrected formation energy = -1.082 eV per atom
Calculated density = 7.07 Mg/m³
Crystal system = monoclinic

a = 7.6854 Å, b = 13.3093 Å, c = 7.6705 Å
α = 90.00°, β = 109.51°, γ = 90.00°
Space group C2/m (No. 12)
Unique sites:
Ce (0.0000, 0.0000, 0.0000) (multiplicity 2)
Ce (0.0000, 0.3339, 0.0000) (multiplicity 4)
Y (0.0000, 0.5000, 0.5000) (multiplicity 2)
Er (0.0000, 0.1669, 0.5000) (multiplicity 4)
Sb (0.2456, 0.0000, 0.7417) (multiplicity 4)
Sb (0.2483, 0.3326, 0.7424) (multiplicity 8)

(4)
The following is a GGA-PBE calculation of a relaxed Ce2Y3ErSb6 crystal, from Alexandria via LeMat-Bulk.

Calculated values
M_tot = 3.004 Bohr magnetons per cell
Uncorrected formation energy = -1.113 eV per atom
Calculated density = 6.54 Mg/m³
Crystal system = monoclinic

a = 7.6606 Å, b = 13.2690 Å, c = 7.6580 Å
α = 90.00°, β = 109.50°, γ = 90.00°
Space group C2/m (No. 12)
Unique sites:
Ce (0.0000, 0.1661, 0.0000) (multiplicity 4)
Y (0.0000, 0.0000, 0.5000) (multiplicity 2)
Y (0.0000, 0.3314, 0.5000) (multiplicity 4)
Er (0.0000, 0.5000, 0.0000) (multiplicity 2)
Sb (0.2440, 0.5000, 0.7457) (multiplicity 4)
Sb (0.2483, 0.3354, 0.2519) (multiplicity 8)

(5)
The following is a GGA-PBE calculation of a relaxed CeErSc6 crystal, from Alexandria via LeMat-Bulk.

Calculated values
M_tot = 0.620 Bohr magnetons per cell
Calculated density = 4.62 Mg/m³
Crystal system = hexagonal
Formation energy from the elements = 0.038 eV per atom

a = 6.7103 Å, b = 6.7103 Å, c = 5.3232 Å
α = 90.00°, β = 90.00°, γ = 120.00°
Space group P-6m2 (No. 187)
Unique sites:
Ce (0.0000, 0.0000, 0.0000) (multiplicity 1)
Er (0.6667, 0.3333, 0.5000) (multiplicity 1)
Sc (0.0063, 0.5032, 0.0000) (multiplicity 3)
Sc (0.1668, 0.3337, 0.5000) (multiplicity 3)

(6)
The following is a GGA-PBE calculation of a relaxed CeEr2Sc2 crystal, from Alexandria via LeMat-Bulk.

Calculated values
M_tot = 4.207 Bohr magnetons per cell
Calculated density = 6.69 Mg/m³
Crystal system = orthorhombic
Formation energy from the elements = 0.057 eV per atom

a = 17.1808 Å, b = 6.0416 Å, c = 5.3964 Å
α = 90.00°, β = 90.00°, γ = 90.00°
Space group Cmcm (No. 63)
Unique sites:
Ce (0.0000, 0.1360, 0.2500) (multiplicity 4)
Er (0.1969, 0.1696, 0.2500) (multiplicity 8)
Sc (0.0968, 0.3509, 0.7500) (multiplicity 8)

(7)
The following is a GGA-PBE calculation of a relaxed CeErSc crystal, from Alexandria via LeMat-Bulk.

Calculated values
M_tot = 1.179 Bohr magnetons per cell
Calculated density = 6.97 Mg/m³
Crystal system = tetragonal
Formation energy from the elements = 0.085 eV per atom

a = 3.4074 Å, b = 3.4074 Å, c = 14.4612 Å
α = 90.00°, β = 90.00°, γ = 90.00°
Space group I4mm (No. 107)
Unique sites:
Ce (0.0000, 0.0000, 0.0000) (multiplicity 2)
Er (0.0000, 0.0000, 0.6718) (multiplicity 2)
Sc (0.0000, 0.0000, 0.3403) (multiplicity 2)

(8)
The following is a GGA-PBE calculation of a relaxed CeEr2Sc2 crystal, from Alexandria via LeMat-Bulk.

Calculated values
M_tot = 3.279 Bohr magnetons per cell
Calculated density = 6.68 Mg/m³
Crystal system = orthorhombic
Formation energy from the elements = 0.118 eV per atom

a = 5.5169 Å, b = 17.8682 Å, c = 5.6934 Å
α = 90.00°, β = 90.00°, γ = 90.00°
Space group Cmc2_1 (No. 36)
Unique sites:
Ce (0.0000, 0.0459, 0.0000) (multiplicity 4)
Er (0.0000, 0.2472, 0.0573) (multiplicity 4)
Er (0.0000, 0.4445, 0.1163) (multiplicity 4)
Sc (0.0000, 0.1462, 0.5187) (multiplicity 4)
Sc (0.0000, 0.3551, 0.6079) (multiplicity 4)

(9)
The following is a GGA-PBE calculation of a relaxed CeErSc3 crystal, from Alexandria via LeMat-Bulk.

Calculated values
M_tot = 5.960 Bohr magnetons per cell
Calculated density = 5.52 Mg/m³
Crystal system = monoclinic
Formation energy from the elements = 0.104 eV per atom

a = 19.2298 Å, b = 9.1069 Å, c = 6.0907 Å
α = 90.00°, β = 93.37°, γ = 90.00°
Space group C2/c (No. 15)
Unique sites:
Ce (0.2269, 0.0698, 0.1329) (multiplicity 8)
Er (0.0000, 0.2476, 0.2500) (multiplicity 4)
Er (0.0000, 0.3852, 0.7500) (multiplicity 4)
Sc (0.0752, 0.0561, 0.8910) (multiplicity 8)
Sc (0.1350, 0.4045, 0.0872) (multiplicity 8)
Sc (0.1603, 0.2492, 0.5627) (multiplicity 8)

(10)
The following is a GGA-PBE calculation of a relaxed CeErSc crystal, from Alexandria via LeMat-Bulk.

Calculated values
M_tot = 0.001 Bohr magnetons per cell
Calculated density = 7.04 Mg/m³
Crystal system = orthorhombic
Formation energy from the elements = 0.065 eV per atom

a = 3.3411 Å, b = 19.4433 Å, c = 5.1181 Å
α = 90.00°, β = 90.00°, γ = 90.00°
Space group Cmcm (No. 63)
Unique sites:
Ce (0.0000, 0.2114, 0.2500) (multiplicity 4)
Er (0.0000, 0.3878, 0.2500) (multiplicity 4)
Sc (0.0000, 0.0402, 0.2500) (multiplicity 4)